Here is BaSmCu2S4 after structural relaxation from the Alexandria database. Energies are from GGA-PBE.

Cell and atoms, written as CIF:
```
data_BaSmCu2S4
_cell_length_a 6.669
_cell_length_b 6.681
_cell_length_c 8.302
_cell_angle_alpha 90.00
_cell_angle_beta 90.00
_cell_angle_gamma 90.00
_symmetry_space_group_name_H-M 'I 2 2 2'
_symmetry_Int_Tables_number 23
loop_
_symmetry_equiv_pos_as_xyz
'x,y,z'
'-x,-y,z'
'x,-y,-z'
'-x,y,-z'
'x+1/2,y+1/2,z+1/2'
'-x+1/2,-y+1/2,z+1/2'
'x+1/2,-y+1/2,-z+1/2'
'-x+1/2,y+1/2,-z+1/2'
loop_
_atom_site_label
_atom_site_fract_x
_atom_site_fract_y
_atom_site_fract_z
Ba1 0.000 0.000 0.000
Sm1 0.000 0.000 0.500
Cu1 0.000 0.500 0.249
S1 0.222 0.221 0.289
```

* calculated volume: 185 Å³/f.u.
* crystal system: orthorhombic
* formation energy from raw total energies: -9.06 eV per formula unit
* theoretical density: 4.875 g/cm3